Material: HoErPd2
Method: DFT, PBE
State: optimized geometry

abc: 6.9801 6.9801 6.9801
angles: 90.00 90.00 90.00
Closest atoms and distances in Å follow each position.
Element x y z (fractional)
Ho1 0.0000 0.0000 0.0000  8 Pd 3.02
Ho2 0.0000 0.5000 0.5000  8 Pd 3.02
Ho3 0.5000 0.0000 0.5000  8 Pd 3.02
Ho4 0.5000 0.5000 0.0000  8 Pd 3.02
Er1 0.0000 0.0000 0.5000  8 Pd 3.02
Er2 0.0000 0.5000 0.0000  8 Pd 3.02
Er3 0.5000 0.0000 0.0000  8 Pd 3.02
Er4 0.5000 0.5000 0.5000  8 Pd 3.02
Pd1 0.2500 0.2500 0.2500  4 Er 3.02, 4 Ho 3.02
Pd2 0.2500 0.2500 0.7500  4 Ho 3.02, 4 Er 3.02
Pd3 0.2500 0.7500 0.2500  4 Ho 3.02, 4 Er 3.02
Pd4 0.2500 0.7500 0.7500  4 Ho 3.02, 4 Er 3.02
Pd5 0.7500 0.2500 0.2500  4 Ho 3.02, 4 Er 3.02
Pd6 0.7500 0.2500 0.7500  4 Ho 3.02, 4 Er 3.02
Pd7 0.7500 0.7500 0.2500  4 Ho 3.02, 4 Er 3.02
Pd8 0.7500 0.7500 0.7500  4 Ho 3.02, 4 Er 3.02

**Uncorrected energy**: -92.768 eV per cell
**E_form**: -0.916 eV/atom
**Space-group type**: Fm-3m (225)
**Total magnetic moment**: 0.00 μB per formula unit
**Distance to the lowest polymorph of the same formula**: 0.08 eV per formula unit